Record 1
VASP calculation (PBE) on an optimized crystal structure of K7IN12.

Its energy is -3.31 eV per atom. As for the raw formation energy: 2150 meV/atom.

The structure belongs to space group R-3 (No. 148, hexagonal axes); the cell edges are 13.5660, 13.5660 and 10.5285 Å and the angles 90.00°, 90.00° and 120.00°. The distinct sites, in fractional coordinates, are K at (0.0000, 0.0000, 0.0000), K at (0.0234, 0.2419, 0.6341), I at (0.0000, 0.0000, 0.5000), N at (0.0164, 0.2204, 0.3493) and N at (0.1003, 0.8836, 0.1395).


Record 2
VASP calculation (PBE) on an optimized crystal structure of K4I4N3.

Its energy is -3.15 eV per atom. As for the raw formation energy: 82 meV/atom.

The structure belongs to space group Pm (No. 6); the cell edges are 4.6572, 11.9571 and 5.9743 Å and the angles 90.00°, 90.06° and 90.00°. The distinct sites, in fractional coordinates, are K at (0.0000, 0.0000, 0.0000), K at (0.0005, 0.5000, 0.0001), K at (0.9994, 0.2511, 0.4999), I at (0.4873, 0.2531, 0.9999), I at (0.5159, 0.5000, 0.4999), I at (0.5168, 0.0000, 0.5000), N at (0.0785, 0.5000, 0.5001) and N at (0.9245, 0.2484, 0.9997).


Record 3
VASP calculation (PBE) on an optimized crystal structure of K2I3N2.

Its energy is -3.11 eV per atom. As for the raw formation energy: 247 meV/atom.

The structure belongs to space group P-1 (No. 2); the cell edges are 4.6263, 7.4975 and 8.9127 Å and the angles 103.30°, 104.96° and 107.55°. The distinct sites, in fractional coordinates, are K at (0.2088, 0.0919, 0.3268), I at (0.1036, 0.4872, 0.7235), I at (0.5000, 0.0000, 0.0000) and N at (0.1181, 0.7708, 0.4586).


Record 4
VASP calculation (PBE) on an optimized crystal structure of KI2N.

As for the offset from the most stable computed form: 0.000 eV per formula unit. Its energy is -2.99 eV per atom. As for the raw formation energy: 139 meV/atom.

The structure belongs to space group I4_1/amd (No. 141, origin choice 2); the cell edges are 7.3955, 7.3955 and 10.4977 Å and the angles 90.00°, 90.00° and 90.00°. The distinct sites, in fractional coordinates, are K at (0.0000, 0.2500, 0.3750), I at (0.0000, 0.0000, 0.0000) and N at (0.0000, 0.2500, 0.8750).


Record 5
VASP calculation (PBE) on an optimized crystal structure of KIN.

As for the offset from the most stable computed form: 4.304 eV per formula unit. Its energy is -3.19 eV per atom. As for the raw formation energy: 470 meV/atom.

The structure belongs to space group P2_1/m (No. 11); the cell edges are 3.6250, 4.7528 and 9.7916 Å and the angles 90.00°, 94.08° and 90.00°. The distinct sites, in fractional coordinates, are K at (0.0075, 0.2500, 0.3823), I at (0.4614, 0.7500, 0.1649) and N at (0.5000, 0.2500, 0.6306).


Record 6
VASP calculation (PBE) on an optimized crystal structure of KIN4.

Its energy is -6.44 eV per atom. As for the raw formation energy: -451 meV/atom.

The structure belongs to space group I4_1/a (No. 88, origin choice 2); the cell edges are 4.8974, 4.8974 and 39.9794 Å and the angles 90.00°, 90.00° and 90.00°. The distinct sites, in fractional coordinates, are K at (0.0000, 0.2500, 0.1250), I at (0.0000, 0.2500, 0.6250) and N at (0.0095, 0.1367, 0.7869).


Record 7
VASP calculation (PBE) on an optimized crystal structure of K4I3N2.

Its energy is -3.83 eV per atom. As for the raw formation energy: -974 meV/atom.

The structure belongs to space group C2/c (No. 15); the cell edges are 16.5406, 9.4391 and 9.0796 Å and the angles 90.00°, 91.53° and 90.00°. The distinct sites, in fractional coordinates, are K at (0.0592, 0.2279, 0.0239), K at (0.2174, 0.4460, 0.3112), I at (0.0000, 0.4734, 0.7500), I at (0.1333, 0.1107, 0.3947) and N at (0.2258, 0.2956, 0.9897).


Record 8
VASP calculation (PBE) on an optimized crystal structure of K3IN.

As for the offset from the most stable computed form: 0.000 eV per formula unit. Its energy is -2.87 eV per atom. As for the raw formation energy: -234 meV/atom.

The structure belongs to space group Pm-3m (No. 221); the cell edges are 5.5199, 5.5199 and 5.5199 Å and the angles 90.00°, 90.00° and 90.00°. The distinct sites, in fractional coordinates, are K at (0.0000, 0.0000, 0.5000), I at (0.5000, 0.5000, 0.5000) and N at (0.0000, 0.0000, 0.0000).


Record 9
VASP calculation (PBE) on an optimized crystal structure of KIN.

As for the offset from the most stable computed form: 0.000 eV per formula unit. Its energy is -4.62 eV per atom. As for the raw formation energy: -965 meV/atom.

The structure belongs to space group P2_1/c (No. 14); the cell edges are 10.6714, 4.9839 and 10.0101 Å and the angles 90.00°, 102.13° and 90.00°. The distinct sites, in fractional coordinates, are K at (0.1631, 0.2498, 0.4094), I at (0.1780, 0.7491, 0.1630) and N at (0.4534, 0.0536, 0.9861).


Record 10
VASP calculation (PBE) on an optimized crystal structure of K3IN4.

Its energy is -5.13 eV per atom. As for the raw formation energy: -365 meV/atom.

The structure belongs to space group C2/m (No. 12); the cell edges are 19.9363, 4.0271 and 5.3791 Å and the angles 90.00°, 105.41° and 90.00°. The distinct sites, in fractional coordinates, are K at (0.0000, 0.0000, 0.0000), K at (0.1646, 0.0000, 0.6691), I at (0.0000, 0.5000, 0.5000), N at (0.1354, 0.5000, 0.1317) and N at (0.1969, 0.5000, 0.1937).


Record 11
VASP calculation (PBE) on an optimized crystal structure of K4I5N2.

Its energy is -3.56 eV per atom. As for the raw formation energy: -941 meV/atom.

The structure belongs to space group C2/m (No. 12); the cell edges are 20.9973, 5.1984 and 11.0673 Å and the angles 90.00°, 116.43° and 90.00°. The distinct sites, in fractional coordinates, are K at (0.0254, 0.0000, 0.3160), K at (0.2380, 0.5000, 0.1792), I at (0.0000, 0.5000, 0.5000), I at (0.1405, 0.0000, 0.9580), I at (0.1997, 0.0000, 0.3509) and N at (0.0067, 0.5000, 0.0546).


Record 12
VASP calculation (PBE) on an optimized crystal structure of KNaIN2.

As for the offset from the most stable computed form: 1.031 eV per formula unit. Its energy is -2.90 eV per atom. As for the raw formation energy: 1224 meV/atom.

The structure belongs to space group P4/mmm (No. 123); the cell edges are 5.2111, 5.2111 and 7.0698 Å and the angles 90.00°, 90.00° and 90.00°. The distinct sites, in fractional coordinates, are K at (0.0000, 0.0000, 0.0000), Na at (0.5000, 0.5000, 0.5000), I at (0.0000, 0.0000, 0.5000) and N at (0.0000, 0.5000, 0.0000).